Ta3C after structural relaxation. Source: the Alexandria database, functional GGA-PBE.

The value obtained for the calculated volume is 61.3 Å³ per cell. Its distance to the lowest polymorph of the same formula is 429.7 meV per atom. For the formation energy, the calculation gives 0.067 eV per atom.

abc: 4.991 4.991 4.991
angles: 145.71 117.00 73.73
Atoms (fractional coordinates):
C (0.936, 0.000, 0.936)
Ta (0.621, 0.500, 0.121)
Ta (0.961, 0.323, 0.638)
Ta (0.316, 0.677, 0.638)